{"formula": "SrCa2AlNi", "functional": "PBE", "state": "relaxed", "mass_density_g_cm3": 2.90, "magnetic_moment_mub_per_cell": 0.0, "formation_energy_ev_per_atom": -0.1045, "sg": "No. 123", "lattice_angstrom": [[5.480, 0.000, 0.000], [0.000, 5.480, 0.000], [0.000, 0.000, 4.838]], "species": ["Sr", "Ca", "Ca", "Al", "Ni"], "frac_coords": [[0.500, 0.500, 0.500], [0.000, 0.500, 0.000], [0.500, 0.000, 0.000], [0.000, 0.000, 0.500], [0.000, 0.000, 0.000]]}



{"formula": "Ac14PmEr", "functional": "PBE", "state": "relaxed", "mass_density_g_cm3": 8.33, "magnetic_moment_mub_per_cell": 0.0, "formation_energy_ev_per_atom": 0.0280, "sg": "No. 38", "lattice_angstrom": [[7.809, 1.048, 0.000], [-1.048, 7.809, 0.000], [0.000, 0.000, 11.207]], "species": ["Ac", "Ac", "Ac", "Ac", "Ac", "Ac", "Ac", "Ac", "Ac", "Ac", "Ac", "Ac", "Ac", "Ac", "Pm", "Er"], "frac_coords": [[0.375, 0.625, 0.500], [0.875, 0.125, 0.500], [0.874, 0.624, 0.000], [0.876, 0.626, 0.500], [0.376, 0.126, 0.000], [0.374, 0.124, 0.500], [0.624, 0.874, 0.756], [0.624, 0.874, 0.244], [0.126, 0.376, 0.756], [0.126, 0.376, 0.244], [0.126, 0.874, 0.757], [0.126, 0.874, 0.243], [0.624, 0.376, 0.756], [0.624, 0.376, 0.244], [0.875, 0.125, 0.000], [0.375, 0.625, 0.000]]}



{"formula": "SrAg2Pb", "functional": "PBE", "state": "relaxed", "mass_density_g_cm3": 8.04, "magnetic_moment_mub_per_cell": 0.0, "formation_energy_ev_per_atom": -0.1125, "sg": "No. 99", "lattice_angstrom": [[-3.701, -0.645, 0.048], [0.404, -2.084, 3.095], [-1.006, 6.085, 4.227]], "species": ["Ag", "Ag", "Pb", "Sr"], "frac_coords": [[0.000, 0.000, 0.048], [0.500, 0.500, 0.228], [0.000, 0.000, 0.449], [0.500, 0.500, 0.776]]}



{"formula": "MgCu2", "functional": "PBE", "state": "relaxed", "mass_density_g_cm3": 4.20, "magnetic_moment_mub_per_cell": 0.0, "formation_energy_ev_per_atom": 0.6534, "sg": "No. 136", "lattice_angstrom": [[6.755, 0.000, 0.000], [0.000, 6.755, 0.000], [0.000, 0.000, 2.621]], "species": ["Mg", "Mg", "Cu", "Cu", "Cu", "Cu"], "frac_coords": [[0.500, 0.500, 0.000], [0.000, 0.000, 0.500], [0.765, 0.765, 0.000], [0.235, 0.235, 0.000], [0.265, 0.735, 0.500], [0.735, 0.265, 0.500]]}



{"formula": "EuDyNiAg", "functional": "PBE", "state": "relaxed", "mass_density_g_cm3": 8.71, "magnetic_moment_mub_per_cell": 7.1, "formation_energy_ev_per_atom": -0.1794, "sg": "No. 216", "lattice_angstrom": [[5.063, 0.000, 0.000], [2.531, 4.384, 0.000], [2.531, 1.461, 4.134]], "species": ["Eu", "Ni", "Ag", "Dy"], "frac_coords": [[0.000, 0.000, 0.000], [0.750, 0.750, 0.750], [0.250, 0.250, 0.250], [0.500, 0.500, 0.500]]}



{"formula": "V2IrRh2", "functional": "PBE", "state": "relaxed", "mass_density_g_cm3": 10.53, "magnetic_moment_mub_per_cell": 0.0, "e_above_lowest_polymorph_mev_per_atom": 414, "formation_energy_ev_per_atom": 0.1913, "sg": "No. 12", "lattice_angstrom": [[4.123, -1.228, 0.204], [-0.828, 4.222, 0.204], [-0.243, -0.221, 4.779]], "species": ["V", "V", "Ir", "Rh", "Rh"], "frac_coords": [[0.509, 0.509, 0.740], [0.491, 0.491, 0.260], [0.000, 0.000, 0.000], [0.171, 0.829, 0.500], [0.829, 0.171, 0.500]]}



{"formula": "Sr4Li2Al", "functional": "PBE", "state": "relaxed", "mass_density_g_cm3": 2.41, "magnetic_moment_mub_per_cell": 0.0, "formation_energy_ev_per_atom": 0.0348, "sg": "No. 166", "lattice_angstrom": [[5.491, 0.000, 1.715], [2.477, 4.900, 1.715], [-0.103, -0.063, 9.975]], "species": ["Sr", "Sr", "Sr", "Sr", "Li", "Li", "Al"], "frac_coords": [[0.876, 0.876, 0.371], [0.124, 0.124, 0.629], [0.626, 0.626, 0.123], [0.374, 0.374, 0.877], [0.744, 0.744, 0.769], [0.256, 0.256, 0.231], [0.000, 0.000, 0.000]]}



{"formula": "Y2MgSi3Pd4", "functional": "PBE", "state": "relaxed", "e_form_raw_mev_per_atom": -858.5, "mass_density_g_cm3": 6.57, "magnetic_moment_mub_per_cell": 0.0, "sg": "No. 115", "lattice_angstrom": [[4.187, 0.000, 0.000], [0.000, 4.187, 0.000], [0.000, 0.000, 10.270]], "species": ["Y", "Y", "Mg", "Si", "Si", "Si", "Pd", "Pd", "Pd", "Pd"], "frac_coords": [[0.500, 0.000, 0.241], [0.000, 0.500, 0.759], [0.500, 0.500, 0.500], [0.000, 0.000, 0.500], [0.500, 0.000, 0.871], [0.000, 0.500, 0.129], [0.500, 0.500, 0.000], [0.000, 0.000, 0.000], [0.500, 0.000, 0.641], [0.000, 0.500, 0.359]]}



{"formula": "PmZn2Ir2", "functional": "PBE", "state": "relaxed", "mass_density_g_cm3": 11.95, "magnetic_moment_mub_per_cell": 0.0, "formation_energy_ev_per_atom": -0.4217, "sg": "No. 139", "lattice_angstrom": [[4.042, 0.000, 0.000], [0.000, 4.042, 0.000], [-2.021, -2.021, 11.229]], "species": ["Pm", "Pm", "Zn", "Zn", "Zn", "Zn", "Ir", "Ir", "Ir", "Ir"], "frac_coords": [[0.630, 0.630, 0.259], [0.370, 0.370, 0.741], [0.000, 0.500, 0.000], [0.180, 0.180, 0.361], [0.500, 0.000, 0.000], [0.820, 0.820, 0.639], [0.750, 0.250, 0.500], [0.931, 0.931, 0.862], [0.069, 0.069, 0.138], [0.250, 0.750, 0.500]]}



{"formula": "HfAlReNi2", "functional": "PBE", "state": "relaxed", "mass_density_g_cm3": 10.50, "magnetic_moment_mub_per_cell": 0.0, "formation_energy_ev_per_atom": 0.4410, "sg": "No. 123", "lattice_angstrom": [[4.192, 0.000, 0.000], [0.000, 4.580, 0.000], [0.000, 0.000, 4.192]], "species": ["Re", "Hf", "Al", "Ni", "Ni"], "frac_coords": [[0.000, 0.500, 0.000], [0.500, 0.500, 0.500], [0.000, 0.000, 0.000], [0.000, 0.000, 0.500], [0.500, 0.000, 0.000]]}



{"formula": "InTeAs2", "functional": "PBE", "state": "relaxed", "e_form_raw_mev_per_atom": 310.3, "mass_density_g_cm3": 6.47, "magnetic_moment_mub_per_cell": 0.0, "e_above_lowest_polymorph_mev_per_atom": 340, "sg": "No. 119", "lattice_angstrom": [[-2.900, 4.117, -4.492], [-5.369, -1.040, -3.953], [2.420, -0.502, 6.279]], "species": ["As", "As", "Te", "In"], "frac_coords": [[0.000, 0.000, 0.000], [0.250, 0.750, 0.500], [0.750, 0.250, 0.500], [0.500, 0.500, 0.000]]}



{"formula": "Mg2AlSb", "functional": "PBE", "state": "relaxed", "e_form_raw_mev_per_atom": -57.1, "mass_density_g_cm3": 3.71, "magnetic_moment_mub_per_cell": 0.0, "e_above_lowest_polymorph_mev_per_atom": 14, "sg": "No. 10", "lattice_angstrom": [[-3.686, 1.568, -1.050], [-0.990, -2.950, -0.929], [-3.289, -4.337, 5.069]], "species": ["Sb", "Mg", "Mg", "Al"], "frac_coords": [[0.500, 0.250, 0.250], [0.000, 0.015, 0.982], [0.000, 0.485, 0.518], [0.500, 0.750, 0.750]]}



{"formula": "CdInSb2", "functional": "PBE", "state": "relaxed", "e_form_raw_mev_per_atom": 79.0, "mass_density_g_cm3": 6.69, "magnetic_moment_mub_per_cell": 0.0, "sg": "No. 160", "lattice_angstrom": [[4.483, 0.000, 0.000], [2.241, 3.882, 0.000], [2.241, 1.294, 6.716]], "species": ["Cd", "In", "Sb", "Sb"], "frac_coords": [[0.498, 0.498, 0.505], [0.667, 0.667, 0.998], [0.086, 0.086, 0.743], [0.248, 0.248, 0.255]]}



{"formula": "KHg4H4", "functional": "PBE", "state": "relaxed", "mass_density_g_cm3": 8.23, "final_energy_ev_per_atom": -1.49, "magnetic_moment_mub_per_cell": 0.0, "sg": "No. 86", "lattice_angstrom": [[-0.326, -3.515, 1.580], [9.057, 0.269, 2.466], [-2.351, 3.907, 8.209]], "species": ["K", "K", "Hg", "Hg", "Hg", "Hg", "Hg", "Hg", "Hg", "Hg", "H", "H", "H", "H", "H", "H", "H", "H"], "frac_coords": [[0.000, 0.000, 0.000], [0.500, 0.500, 0.500], [0.403, 0.303, 0.901], [0.903, 0.599, 0.803], [0.403, 0.697, 0.099], [0.097, 0.197, 0.599], [0.597, 0.901, 0.697], [0.097, 0.803, 0.401], [0.903, 0.401, 0.197], [0.597, 0.099, 0.303], [0.603, 0.802, 0.438], [0.603, 0.198, 0.562], [0.103, 0.938, 0.698], [0.897, 0.302, 0.938], [0.897, 0.698, 0.062], [0.397, 0.438, 0.198], [0.397, 0.562, 0.802], [0.103, 0.062, 0.302]]}



{"formula": "Li2YPb3", "functional": "PBE", "state": "relaxed", "mass_density_g_cm3": 8.02, "magnetic_moment_mub_per_cell": 0.0, "formation_energy_ev_per_atom": -0.3394, "sg": "No. 65", "lattice_angstrom": [[-1.195, 4.023, 1.073], [-0.082, 1.204, -4.604], [-6.955, -2.576, 1.910]], "species": ["Li", "Li", "Y", "Pb", "Pb", "Pb"], "frac_coords": [[0.000, 0.679, 0.358], [0.000, 0.321, 0.642], [0.000, 0.000, 0.000], [0.500, 0.172, 0.344], [0.500, 0.500, 0.000], [0.500, 0.828, 0.656]]}



{"formula": "TiBe3Ga", "functional": "PBE", "state": "relaxed", "mass_density_g_cm3": 3.54, "magnetic_moment_mub_per_cell": 0.0, "e_above_lowest_polymorph_mev_per_atom": 0, "formation_energy_ev_per_atom": 0.7190, "sg": "No. 221", "lattice_angstrom": [[-3.696, -0.020, -1.727], [-0.715, -3.697, 1.571], [-1.573, 1.725, 3.345]], "species": ["Be", "Be", "Be", "Ga", "Ti"], "frac_coords": [[0.000, 0.500, 0.000], [0.000, 0.000, 0.500], [0.500, 0.000, 0.000], [0.000, 0.000, 0.000], [0.500, 0.500, 0.500]]}



{"formula": "In4GaPb3", "functional": "PBE", "state": "relaxed", "mass_density_g_cm3": 8.56, "magnetic_moment_mub_per_cell": 0.0, "formation_energy_ev_per_atom": 0.0317, "sg": "No. 123", "lattice_angstrom": [[3.475, 0.000, 0.000], [0.000, 3.475, 0.000], [0.000, 0.000, 18.494]], "species": ["Pb", "Pb", "Pb", "Ga", "In", "In", "In", "In"], "frac_coords": [[0.500, 0.500, 0.237], [0.500, 0.500, 0.500], [0.500, 0.500, 0.763], [0.500, 0.500, 0.000], [0.000, 0.000, 0.895], [0.000, 0.000, 0.105], [0.000, 0.000, 0.369], [0.000, 0.000, 0.631]]}



{"formula": "KNpGaO6", "functional": "PBE", "state": "relaxed", "e_form_raw_mev_per_atom": -1917.1, "mass_density_g_cm3": 4.90, "magnetic_moment_mub_per_cell": 2.2, "sg": "No. 163", "lattice_angstrom": [[-4.549, -2.727, -0.613], [4.502, -2.571, 1.279], [-2.489, 1.502, 11.783]], "species": ["K", "K", "Np", "Np", "Ga", "Ga", "O", "O", "O", "O", "O", "O", "O", "O", "O", "O", "O", "O"], "frac_coords": [[0.000, 0.000, 0.000], [0.000, 0.000, 0.500], [0.333, 0.667, 0.250], [0.667, 0.333, 0.750], [0.667, 0.333, 0.250], [0.333, 0.667, 0.750], [0.625, 0.625, 0.159], [0.000, 0.375, 0.159], [0.375, 0.000, 0.659], [0.000, 0.625, 0.841], [0.375, 0.375, 0.341], [0.000, 0.625, 0.341], [0.625, 0.000, 0.841], [0.625, 0.000, 0.341], [0.000, 0.375, 0.659], [0.375, 0.000, 0.159], [0.625, 0.625, 0.659], [0.375, 0.375, 0.841]]}



{"formula": "Li2CaAc", "functional": "PBE", "state": "relaxed", "mass_density_g_cm3": 3.63, "magnetic_moment_mub_per_cell": 0.0, "e_above_lowest_polymorph_mev_per_atom": 19, "formation_energy_ev_per_atom": 0.0784, "sg": "No. 225", "lattice_angstrom": [[-2.743, 2.414, -4.331], [-2.138, -3.217, -4.146], [-5.610, -0.620, -0.499]], "species": ["Ac", "Ca", "Li", "Li"], "frac_coords": [[0.000, 0.000, 0.000], [0.500, 0.500, 0.500], [0.250, 0.250, 0.250], [0.750, 0.750, 0.750]]}



{"formula": "Pm2InAu3", "functional": "PBE", "state": "relaxed", "mass_density_g_cm3": 10.79, "magnetic_moment_mub_per_cell": 0.0, "e_above_lowest_polymorph_mev_per_atom": 72, "formation_energy_ev_per_atom": -0.6367, "sg": "No. 44", "lattice_angstrom": [[3.955, 0.000, -1.053], [-0.295, 3.901, -1.109], [0.443, 0.648, 9.618]], "species": ["Pm", "Pm", "In", "Au", "Au", "Au"], "frac_coords": [[0.131, 0.131, 0.262], [0.856, 0.356, 0.711], [0.456, 0.956, 0.912], [0.702, 0.702, 0.405], [0.553, 0.553, 0.107], [0.301, 0.801, 0.603]]}



{"formula": "ScMn2", "functional": "PBE", "state": "relaxed", "mass_density_g_cm3": 5.94, "magnetic_moment_mub_per_cell": 4.4, "formation_energy_ev_per_atom": 0.4122, "sg": "No. 58", "lattice_angstrom": [[2.700, 0.000, 0.000], [0.000, 4.426, 0.000], [0.000, 0.000, 7.252]], "species": ["Sc", "Sc", "Mn", "Mn", "Mn", "Mn"], "frac_coords": [[0.000, 0.000, 0.000], [0.500, 0.500, 0.500], [0.084, 0.000, 0.353], [0.916, 0.000, 0.647], [0.584, 0.500, 0.147], [0.416, 0.500, 0.853]]}



{"formula": "YCuSi4", "functional": "PBE", "state": "relaxed", "e_form_raw_mev_per_atom": -49.3, "mass_density_g_cm3": 4.55, "magnetic_moment_mub_per_cell": 0.0, "sg": "No. 216", "lattice_angstrom": [[-3.860, 0.775, 3.320], [-3.023, 4.141, -0.486], [-4.880, -0.542, -1.553]], "species": ["Y", "Cu", "Si", "Si", "Si", "Si"], "frac_coords": [[0.750, 0.750, 0.750], [0.000, 0.000, 0.000], [0.881, 0.373, 0.373], [0.373, 0.373, 0.881], [0.373, 0.881, 0.373], [0.373, 0.373, 0.373]]}



{"formula": "TaCr2Ni2", "functional": "PBE", "state": "relaxed", "mass_density_g_cm3": 10.49, "magnetic_moment_mub_per_cell": 0.0, "e_above_lowest_polymorph_mev_per_atom": 0, "formation_energy_ev_per_atom": 0.1394, "sg": "No. 127", "lattice_angstrom": [[7.059, 0.000, 0.000], [0.000, 7.059, 0.000], [0.000, 0.000, 2.555]], "species": ["Ni", "Ni", "Ni", "Ni", "Cr", "Cr", "Cr", "Cr", "Ta", "Ta"], "frac_coords": [[0.379, 0.879, 0.000], [0.879, 0.621, 0.000], [0.621, 0.121, 0.000], [0.121, 0.379, 0.000], [0.174, 0.674, 0.500], [0.674, 0.826, 0.500], [0.826, 0.326, 0.500], [0.326, 0.174, 0.500], [0.000, 0.000, 0.000], [0.500, 0.500, 0.000]]}



{"formula": "K3Ho3PuSe8", "functional": "PBE", "state": "relaxed", "e_form_raw_mev_per_atom": -1649.3, "mass_density_g_cm3": 5.27, "magnetic_moment_mub_per_cell": 4.0, "sg": "No. 166", "lattice_angstrom": [[8.332, 0.000, 0.000], [-4.166, 7.215, -0.029], [0.000, -4.780, 7.816]], "species": ["K", "K", "K", "Ho", "Ho", "Ho", "Pu", "Se", "Se", "Se", "Se", "Se", "Se", "Se", "Se"], "frac_coords": [[0.000, 0.000, 0.000], [0.000, 0.500, 0.000], [0.500, 0.500, 0.000], [0.500, 0.000, 0.500], [0.500, 0.500, 0.500], [0.000, 0.500, 0.500], [0.000, 0.000, 0.500], [0.265, 0.531, 0.296], [0.735, 0.469, 0.704], [0.768, 0.536, 0.300], [0.232, 0.464, 0.700], [0.768, 0.032, 0.300], [0.232, 0.968, 0.700], [0.265, 0.032, 0.300], [0.735, 0.968, 0.700]]}



{"formula": "ZrCrBr2", "functional": "PBE", "state": "relaxed", "e_form_raw_mev_per_atom": 468.7, "mass_density_g_cm3": 5.64, "magnetic_moment_mub_per_cell": 4.0, "e_above_lowest_polymorph_mev_per_atom": 863, "sg": "No. 216", "lattice_angstrom": [[-2.912, 3.833, -1.404], [-2.447, -0.182, -4.373], [-4.986, -0.532, -0.063]], "species": ["Br", "Br", "Cr", "Zr"], "frac_coords": [[0.000, 0.000, 0.000], [0.250, 0.250, 0.250], [0.500, 0.500, 0.500], [0.750, 0.750, 0.750]]}